# 1
Compound: Gd3B2O6F3
Source: the Alexandria database
Functional: meta-GGA SCAN
Structure: PBEsol geometry

Calculated values
Formation energy from raw total energies, kJ/mol of atoms: -347.5

```
data_Gd3B2O6F3
_chemical_formula_sum 'Gd12 B8 O24 F12'
_cell_length_a 12.620
_cell_length_b 6.158
_cell_length_c 8.267
_cell_angle_alpha 90.00
_cell_angle_beta 97.22
_cell_angle_gamma 90.00
_symmetry_space_group_name_H-M 'C 1 2/c 1'
_symmetry_Int_Tables_number 15
_symmetry_space_group_name_Hall '-C 2yc'
loop_
_atom_site_label
_atom_site_fract_x
_atom_site_fract_y
_atom_site_fract_z
Gd1 0.000 0.102 0.250
Gd2 0.178 0.393 0.679
B1 0.180 0.091 0.022
O1 0.149 0.103 0.856
O2 0.149 0.231 0.137
O3 0.239 0.443 0.425
F1 0.000 0.481 0.250
F2 0.053 0.175 0.540
```



# 2
Compound: GeBNF2
Source: the Alexandria database
Functional: meta-GGA SCAN
Structure: PBEsol geometry

Calculated values
Formation energy from raw total energies, kJ/mol of atoms: 10.9

```
data_GeBNF2
_chemical_formula_sum 'Ge1 B1 N1 F2'
_cell_length_a 3.974
_cell_length_b 3.974
_cell_length_c 3.529
_cell_angle_alpha 90.00
_cell_angle_beta 90.00
_cell_angle_gamma 90.00
_symmetry_space_group_name_H-M 'P 4/m m m'
_symmetry_Int_Tables_number 123
_symmetry_space_group_name_Hall '-P 4 2'
loop_
_atom_site_label
_atom_site_fract_x
_atom_site_fract_y
_atom_site_fract_z
Ge1 0.000 0.000 0.000
B1 0.500 0.500 0.500
N1 0.000 0.000 0.500
F1 0.000 0.500 0.000
```



# 3
Compound: GeBN2F
Source: the Alexandria database
Functional: meta-GGA SCAN
Structure: PBEsol geometry

Calculated values
Formation energy from raw total energies, kJ/mol of atoms: 116.4

```
data_GeBN2F
_chemical_formula_sum 'Ge1 B1 N2 F1'
_cell_length_a 3.752
_cell_length_b 3.752
_cell_length_c 3.721
_cell_angle_alpha 90.00
_cell_angle_beta 90.00
_cell_angle_gamma 90.00
_symmetry_space_group_name_H-M 'P 4/m m m'
_symmetry_Int_Tables_number 123
_symmetry_space_group_name_Hall '-P 4 2'
loop_
_atom_site_label
_atom_site_fract_x
_atom_site_fract_y
_atom_site_fract_z
Ge1 0.000 0.000 0.000
B1 0.500 0.500 0.500
N1 0.000 0.500 0.000
F1 0.000 0.000 0.500
```



# 4
Compound: BH2F
Source: the Alexandria database
Functional: meta-GGA SCAN
Structure: PBEsol geometry

```
data_BH2F
_chemical_formula_sum 'B4 H8 F4'
_cell_length_a 3.979
_cell_length_b 3.979
_cell_length_c 5.623
_cell_angle_alpha 90.00
_cell_angle_beta 90.00
_cell_angle_gamma 90.00
_symmetry_space_group_name_H-M 'I -4 2 d'
_symmetry_Int_Tables_number 122
_symmetry_space_group_name_Hall 'I -4 2bw'
loop_
_atom_site_label
_atom_site_fract_x
_atom_site_fract_y
_atom_site_fract_z
B1 0.000 0.000 0.000
H1 0.128 0.750 0.125
F1 0.000 0.000 0.500
```



# 5
Compound: B2HF
Source: the Alexandria database
Functional: meta-GGA SCAN
Structure: PBEsol geometry

```
data_B2HF
_chemical_formula_sum 'B8 H4 F4'
_cell_length_a 3.270
_cell_length_b 3.270
_cell_length_c 11.633
_cell_angle_alpha 90.00
_cell_angle_beta 90.00
_cell_angle_gamma 90.00
_symmetry_space_group_name_H-M 'I 41/a m d'
_symmetry_Int_Tables_number 141
loop_
_symmetry_equiv_pos_as_xyz
'x,y,z'
'-x,-y,-z'
'-y+1/4,x+3/4,z+1/4'
'y+1/4,-x+3/4,-z+1/4'
'-x+1/2,-y,z+1/2'
'x+1/2,y,-z+1/2'
'y+1/4,-x+1/4,z+3/4'
'-y+1/4,x+1/4,-z+3/4'
'x,-y,-z'
'-x,y,z'
'-y+1/4,-x+1/4,-z+3/4'
'y+1/4,x+1/4,z+3/4'
'-x+1/2,y,-z+1/2'
'x+1/2,-y,z+1/2'
'y+1/4,x+3/4,-z+1/4'
'-y+1/4,-x+3/4,z+1/4'
'x+1/2,y+1/2,z+1/2'
'-x+1/2,-y+1/2,-z+1/2'
'-y+3/4,x+1/4,z+3/4'
'y+3/4,-x+1/4,-z+3/4'
'-x,-y+1/2,z'
'x,y+1/2,-z'
'y+3/4,-x+3/4,z+1/4'
'-y+3/4,x+3/4,-z+1/4'
'x+1/2,-y+1/2,-z+1/2'
'-x+1/2,y+1/2,z+1/2'
'-y+3/4,-x+3/4,-z+1/4'
'y+3/4,x+3/4,z+1/4'
'-x,y+1/2,-z'
'x,-y+1/2,z'
'y+3/4,x+1/4,-z+3/4'
'-y+3/4,-x+1/4,z+3/4'
loop_
_atom_site_label
_atom_site_fract_x
_atom_site_fract_y
_atom_site_fract_z
B1 0.000 0.000 0.000
H1 0.000 0.250 0.875
F1 0.000 0.250 0.375
```



# 6
Compound: Zn8B4H3O15F
Source: the Alexandria database
Functional: meta-GGA SCAN
Structure: PBEsol geometry

```
data_Zn8B4H3O15F
_chemical_formula_sum 'Zn8 B4 H3 O15 F1'
_cell_length_a 4.943
_cell_length_b 8.280
_cell_length_c 9.614
_cell_angle_alpha 78.25
_cell_angle_beta 89.93
_cell_angle_gamma 89.90
_symmetry_space_group_name_H-M 'P 1'
_symmetry_Int_Tables_number 1
_symmetry_space_group_name_Hall 'P 1'
loop_
_atom_site_label
_atom_site_fract_x
_atom_site_fract_y
_atom_site_fract_z
Zn1 0.000 0.000 0.000
Zn2 0.002 0.499 0.507
Zn3 0.487 0.924 0.551
Zn4 0.489 0.436 0.049
Zn5 0.501 0.804 0.904
Zn6 0.507 0.302 0.422
Zn7 0.981 0.871 0.358
Zn8 0.985 0.371 0.859
B1 0.001 0.132 0.513
B2 0.001 0.636 0.007
B3 0.495 0.665 0.402
B4 0.498 0.167 0.901
H1 0.321 0.677 0.712
H2 0.801 0.117 0.197
H3 0.829 0.623 0.701
O1 0.278 0.635 0.027
O2 0.280 0.128 0.524
O3 0.357 0.810 0.401
O4 0.359 0.517 0.421
O5 0.360 0.019 0.916
O6 0.360 0.310 0.910
O7 0.487 0.744 0.717
O8 0.774 0.171 0.881
O9 0.774 0.667 0.390
O10 0.863 0.988 0.510
O11 0.865 0.785 0.981
O12 0.867 0.490 0.009
O13 0.868 0.280 0.500
O14 0.944 0.035 0.189
O15 0.993 0.554 0.695
F1 0.539 0.271 0.225
```



# 7
Compound: Zn8B4H3O15F
Source: the Alexandria database
Functional: meta-GGA SCAN
Structure: PBEsol geometry

```
data_Zn8B4H3O15F
_chemical_formula_sum 'Zn16 B8 H6 O30 F2'
_cell_length_a 6.887
_cell_length_b 4.936
_cell_length_c 22.684
_cell_angle_alpha 90.00
_cell_angle_beta 98.28
_cell_angle_gamma 90.00
_symmetry_space_group_name_H-M 'P 1 21 1'
_symmetry_Int_Tables_number 4
_symmetry_space_group_name_Hall 'P 2yb'
loop_
_atom_site_label
_atom_site_fract_x
_atom_site_fract_y
_atom_site_fract_z
Zn1 0.119 0.000 0.357
Zn2 0.122 0.005 0.106
Zn3 0.129 0.005 0.858
Zn4 0.136 0.005 0.613
Zn5 0.346 0.988 0.234
Zn6 0.353 0.987 0.986
Zn7 0.360 0.989 0.740
Zn8 0.366 0.987 0.485
B1 0.279 0.485 0.420
B2 0.285 0.492 0.166
B3 0.294 0.490 0.919
B4 0.299 0.493 0.673
H1 0.028 0.163 0.255
H2 0.032 0.169 0.004
H3 0.037 0.167 0.756
O1 0.102 0.997 0.270
O2 0.105 0.002 0.019
O3 0.109 0.001 0.771
O4 0.136 0.623 0.383
O5 0.139 0.627 0.130
O6 0.147 0.626 0.883
O7 0.152 0.627 0.637
O8 0.293 0.207 0.414
O9 0.299 0.213 0.162
O10 0.308 0.212 0.914
O11 0.315 0.216 0.669
O12 0.407 0.618 0.462
O13 0.414 0.630 0.208
O14 0.421 0.626 0.962
O15 0.428 0.631 0.714
F1 0.153 0.032 0.530
```



# 8
Compound: HfBN2F
Source: the Alexandria database
Functional: meta-GGA SCAN
Structure: PBEsol geometry

Calculated values
Formation energy from raw total energies, kJ/mol of atoms: 18.2

```
data_HfBN2F
_chemical_formula_sum 'Hf1 B1 N2 F1'
_cell_length_a 4.148
_cell_length_b 4.148
_cell_length_c 4.027
_cell_angle_alpha 90.00
_cell_angle_beta 90.00
_cell_angle_gamma 90.00
_symmetry_space_group_name_H-M 'P 4/m m m'
_symmetry_Int_Tables_number 123
_symmetry_space_group_name_Hall '-P 4 2'
loop_
_atom_site_label
_atom_site_fract_x
_atom_site_fract_y
_atom_site_fract_z
Hf1 0.000 0.000 0.000
B1 0.500 0.500 0.500
N1 0.000 0.500 0.000
F1 0.000 0.000 0.500
```



Number 1: E -289.73 eV per formula unit. Number 2: E -42.32 eV per formula unit. Number 3: E -42.61 eV per formula unit. Number 4: E -17.67 eV per formula unit. Number 5: E -20.09 eV per formula unit. Number 6: E -304.25 eV per formula unit. Number 7: E -304.30 eV per formula unit. Number 8: E -91.28 eV per formula unit.